1.
# CsTl2CuCl8

A relaxed structure of CsTl2CuCl8 (PBE, Alexandria).

Results
The magnetic moment comes out at 0.000 μB per atom. The raw formation energy is -0.85 eV per atom.

a b c (Å): 7.013 7.895 9.686
angles (deg): 62.41 68.78 63.64
Fractional coordinates of all 12 atoms:
Cl 0.133 0.359 0.375
Cl 0.299 0.508 0.895
Cs 0.500 0.500 0.500
Cl 0.701 0.492 0.105
Cl 0.148 0.969 0.198
Tl 0.692 0.771 0.845
Cl 0.852 0.031 0.802
Cu 0.000 0.000 0.000
Cl 0.684 0.969 0.198
Cl 0.867 0.641 0.625
Tl 0.308 0.229 0.155
Cl 0.316 0.031 0.802

2.
# Bi4PdPb5

A relaxed structure of Bi4PdPb5 (PBE, Alexandria).

Results
The magnetic moment comes out at 0.000 μB per atom. For the formation energy, the calculation gives 0.10 eV/f.u.

a b c (Å): 3.457 10.407 8.792
angles (deg): 95.71 101.34 90.00
Fractional coordinates of all 10 atoms:
Pb 0.167 0.401 0.335
Pb 0.816 0.261 0.632
Pd 0.500 0.000 0.000
Pb 0.184 0.739 0.368
Bi 0.995 0.787 0.989
Pb 0.500 0.500 0.000
Bi 0.005 0.213 0.011
Bi 0.664 0.033 0.328
Pb 0.833 0.599 0.665
Bi 0.336 0.967 0.672

3.
# Ba5AcAu4

A relaxed structure of Ba5AcAu4 (PBE, Alexandria).

Results
The magnetic moment comes out at 0.000 μB per atom. For the formation energy, the calculation gives -5.60 eV/f.u.

a b c (Å): 5.518 8.049 9.086
angles (deg): 93.73 107.68 90.00
Fractional coordinates of all 10 atoms:
Au 0.993 0.226 0.987
Ba 0.839 0.487 0.678
Au 0.665 0.251 0.329
Ba 0.831 0.982 0.663
Ba 0.161 0.513 0.322
Ac 0.500 0.000 0.000
Ba 0.500 0.500 0.000
Au 0.335 0.749 0.671
Ba 0.169 0.018 0.337
Au 0.007 0.774 0.013

4.
# Sc5ZnIn2Ni2

A relaxed structure of Sc5ZnIn2Ni2 (PBE, Alexandria).

Results
The magnetic moment comes out at 0.000 μB per atom. For the formation energy, the calculation gives -4.03 eV/f.u.

a b c (Å): 3.285 11.010 11.010
angles (deg): 90.00 90.00 90.00
Fractional coordinates of all 20 atoms:
Sc 0.500 0.068 0.796
In 0.000 0.675 0.175
Sc 0.500 0.296 0.568
Sc 0.500 0.796 0.932
In 0.000 0.825 0.675
Ni 0.000 0.129 0.629
Ni 0.000 0.629 0.871
Sc 0.500 0.000 0.500
Sc 0.500 0.932 0.204
Sc 0.500 0.204 0.068
Ni 0.000 0.371 0.129
In 0.000 0.325 0.825
Sc 0.500 0.432 0.296
Zn 0.000 0.500 0.500
Sc 0.500 0.568 0.704
Sc 0.500 0.500 0.000
Sc 0.500 0.704 0.432
Zn 0.000 0.000 0.000
In 0.000 0.175 0.325
Ni 0.000 0.871 0.371

5.
# Sr5Ca6Nd

A relaxed structure of Sr5Ca6Nd (PBE, Alexandria).

Results
The magnetic moment comes out at 0.129 μB per atom. For the formation energy, the calculation gives 0.68 eV/f.u.

a b c (Å): 5.824 10.985 10.656
angles (deg): 121.03 105.87 89.99
Each line ends with the local moment (μB).
Fractional coordinates of all 12 atoms:
Sr 0.664 0.664 0.329  0.00
Ca 0.162 0.405 0.324  0.01
Sr 0.336 0.336 0.671  0.00
Ca 0.838 0.080 0.676  0.01
Ca 0.162 0.920 0.324  0.01
Ca 0.500 0.764 0.000  0.03
Ca 0.838 0.595 0.676  0.01
Sr 0.334 0.834 0.669  0.03
Nd 0.000 0.000 0.000  0.32
Sr 0.666 0.166 0.331  0.03
Sr 0.000 0.500 0.000  0.00
Ca 0.500 0.236 0.000  0.03

6.
# PaSi2Au4

A relaxed structure of PaSi2Au4 (PBE, Alexandria).

Results
The magnetic moment comes out at 0.072 μB per atom. The raw formation energy is -0.30 eV per atom.

a b c (Å): 4.227 4.255 7.493
angles (deg): 106.49 90.00 90.00
Each line ends with the local moment (μB).
Fractional coordinates of all 7 atoms:
Au 0.000 0.325 0.650  0.00
Si 0.500 0.579 0.158  -0.01
Au 0.000 0.675 0.350  0.00
Au 0.500 0.827 0.654  0.00
Pa 0.000 0.000 0.000  0.44
Si 0.500 0.421 0.842  -0.01
Au 0.500 0.173 0.346  0.00

DOS(E_F) for every record listed, in sequence, given in states/eV/f.u.: 2.39; 4.99; 7.90; 10.08; 17.90; 5.44.